{"formula": "YSbBr2", "functional": "PBE-GGA", "state": "optimized geometry", "lattice_angstrom": [[1.8837, 1.0875, 9.8880], [-1.8837, 1.0875, 9.8880], [0.0000, -2.1751, 9.8880]], "species": ["Y", "Sb", "Br", "Br"], "fractional_positions": [[0.0000, 0.0000, 0.0000], [0.2539, 0.2539, 0.2539], [0.5123, 0.5123, 0.5123], [0.7304, 0.7304, 0.7304]], "e_form_raw_ev_per_fu": -2.97, "spacegroup": "R3m, No. 160", "total_energy_ry_per_atom": -0.31060, "polymorph_energy_ev_per_atom": 0.304, "n_ef_per_ev_cell": 4.11}



{"formula": "ZnTe2Os", "functional": "PBE-GGA", "state": "optimized geometry", "lattice_angstrom": [[1.5937, -2.7241, 0.0000], [1.5937, 2.7241, 0.0000], [0.0000, 0.0000, 10.3746]], "species": ["Zn", "Te", "Te", "Os"], "fractional_positions": [[0.0000, 0.0000, 0.0000], [0.0000, 0.0000, 0.6037], [0.5000, 0.5000, 0.2447], [0.5000, 0.5000, 0.8047]], "e_form_raw_ev_per_fu": 2.19, "spacegroup": "Cmm2, No. 35", "total_energy_ry_per_atom": -0.30490, "n_ef_per_ev_cell": 2.52}



{"formula": "LaPbSe2", "functional": "PBE-GGA", "state": "optimized geometry", "lattice_angstrom": [[3.8665, 0.0000, 0.0000], [0.0000, 5.1185, 0.0000], [0.0000, 0.0000, 5.2610]], "species": ["La", "Pb", "Se", "Se"], "fractional_positions": [[0.0000, 0.0000, 0.0000], [0.0000, 0.5000, 0.5000], [0.5000, 0.0000, 0.5000], [0.5000, 0.5000, 0.0000]], "e_form_raw_ev_per_fu": -4.62, "spacegroup": "Pmmm, No. 47", "total_energy_ry_per_atom": -0.37155, "n_ef_per_ev_cell": 3.06}



{"formula": "ScH2F6", "functional": "PBE-GGA", "state": "optimized geometry", "lattice_angstrom": [[5.0059, -2.0701, 0.0000], [5.0059, 2.0701, 0.0000], [-1.3294, 0.0000, 5.2212]], "species": ["Sc", "H", "H", "F", "F", "F", "F", "F", "F"], "fractional_positions": [[0.0000, 0.0000, 0.0000], [0.1402, 0.1402, 0.5439], [0.8598, 0.8598, 0.4561], [0.1254, 0.1254, 0.7590], [0.1508, 0.1508, 0.3468], [0.4013, 0.4013, 0.9486], [0.5987, 0.5987, 0.0514], [0.8492, 0.8492, 0.6532], [0.8746, 0.8746, 0.2410]], "spacegroup": "C2/m, No. 12", "total_energy_ry_per_atom": -0.37056, "polymorph_energy_ev_per_atom": 0.000}



{"formula": "TiCr2GaI", "functional": "PBE-GGA", "state": "optimized geometry", "lattice_angstrom": [[4.7657, 0.0000, 0.0000], [0.0000, 4.7657, 0.0000], [0.0000, 0.0000, 5.7546]], "species": ["Ti", "Cr", "Cr", "Ga", "I"], "fractional_positions": [[0.0000, 0.0000, 0.0000], [0.0000, 0.5000, 0.5000], [0.5000, 0.0000, 0.5000], [0.5000, 0.5000, 0.5000], [0.5000, 0.5000, 0.0000]], "e_form_raw_ev_per_fu": 6.74, "spacegroup": "P4/mmm, No. 123", "total_energy_ry_per_atom": -0.36725, "n_ef_per_ev_cell": 11.03}



{"formula": "FePBr2", "functional": "PBE-GGA", "state": "optimized geometry", "lattice_angstrom": [[1.7019, 0.9826, 9.0455], [-1.7019, 0.9826, 9.0455], [0.0000, -1.9652, 9.0455]], "species": ["Fe", "P", "Br", "Br"], "fractional_positions": [[0.0000, 0.0000, 0.0000], [0.5000, 0.5000, 0.5000], [0.2822, 0.2822, 0.2822], [0.7178, 0.7178, 0.7178]], "e_form_raw_ev_per_fu": 2.48, "spacegroup": "R-3m, No. 166", "total_energy_ry_per_atom": -0.27080, "polymorph_energy_ev_per_atom": 0.668, "n_ef_per_ev_cell": 5.10}



{"formula": "SrHCl2", "functional": "PBE-GGA", "state": "optimized geometry", "lattice_angstrom": [[2.0510, 1.1841, 7.2607], [-2.0510, 1.1841, 7.2607], [0.0000, -2.3682, 7.2607]], "species": ["Sr", "H", "Cl", "Cl"], "fractional_positions": [[0.0000, 0.0000, 0.0000], [0.5000, 0.5000, 0.5000], [0.4261, 0.4261, 0.4261], [0.5739, 0.5739, 0.5739]], "spacegroup": "R-3m, No. 166", "total_energy_ry_per_atom": -0.23475, "n_ef_per_ev_cell": 1.57}



{"formula": "Tb2Dy2Tm3", "functional": "PBE-GGA", "state": "optimized geometry", "lattice_angstrom": [[8.6132, -1.7348, 0.0000], [8.6132, 1.7348, 0.0000], [-4.1141, 0.0000, 7.3718]], "species": ["Tb", "Tb", "Dy", "Dy", "Tm", "Tm", "Tm"], "fractional_positions": [[0.0660, 0.0660, 0.4083], [0.9340, 0.9340, 0.5917], [0.3524, 0.3524, 0.1731], [0.6476, 0.6476, 0.8269], [0.2882, 0.2882, 0.6976], [0.5000, 0.5000, 0.0000], [0.7118, 0.7118, 0.3024]], "spacegroup": "C2/m, No. 12", "total_energy_ry_per_atom": -0.32591, "e_form_ev_per_atom": 0.120, "polymorph_energy_ev_per_atom": 0.000, "n_ef_per_ev_cell": 11.05}



{"formula": "TbHo2Sc", "functional": "PBE-GGA", "state": "optimized geometry", "lattice_angstrom": [[3.0290, -1.7490, 0.0000], [3.0290, 1.7490, 0.0000], [-2.0171, 0.0000, 11.1855]], "species": ["Tb", "Ho", "Ho", "Sc"], "fractional_positions": [[0.0000, 0.0000, 0.0000], [0.4223, 0.4223, 0.2618], [0.5812, 0.5812, 0.7406], [0.8355, 0.8355, 0.5026]], "spacegroup": "Cm, No. 8", "total_energy_ry_per_atom": -0.36760, "e_form_ev_per_atom": 0.028, "polymorph_energy_ev_per_atom": 0.000, "n_ef_per_ev_cell": 6.66}